[1]
Computed, not measured: a relaxed CaZn2Cd10 crystal at the PBE-GGA level of DFT.

Cell and atoms, written as POSCAR:
```
CaZn2Cd10
1.0
5.812 0.000 0.000
2.906 7.023 0.000
2.906 0.000 7.011
Ca Zn Cd
1 2 10
Direct
0.000 0.000 0.000
0.000 0.500 0.000
0.500 0.500 0.000
0.348 0.643 0.661
0.652 0.357 0.339
0.991 0.357 0.661
0.009 0.643 0.339
0.000 0.000 0.500
0.500 0.000 0.500
0.284 0.223 0.209
0.716 0.777 0.791
0.507 0.777 0.209
0.493 0.223 0.791
```

## Properties
Mass density in g cm⁻³: 7.5
Spin magnetization in μB/atom: 0.00
Space-group type: Fmmm (69)
ΔH_f (0 K) in eV/atom: -0.086



[2]
Computed, not measured: a relaxed CaZn2Cd crystal at the PBE-GGA level of DFT.

Cell and atoms, written as POSCAR:
```
CaZn2Cd
1.0
-1.691 -2.457 -1.692
2.981 -1.454 -0.867
-0.206 -4.068 6.113
Zn Ca Cd
2 1 1
Direct
0.000 0.000 0.029
0.500 0.500 0.202
0.000 0.000 0.479
0.500 0.500 0.790
```

## Properties
Mass density in g cm⁻³: 5.4
Spin magnetization in μB/atom: 0.00
Space-group type: P4mm (99)
ΔH_f (0 K) in eV/atom: -0.122



[3]
Computed, not measured: a relaxed CaZn3Cd crystal at the PBE-GGA level of DFT.

Cell and atoms, written as POSCAR:
```
CaZn3Cd
1.0
5.774 0.000 0.000
0.000 5.774 0.000
0.000 0.000 5.774
Zn Ca Cd
3 1 1
Direct
0.000 0.500 0.000
0.000 0.000 0.500
0.500 0.000 0.000
0.000 0.000 0.000
0.500 0.500 0.500
```

## Properties
Mass density in g cm⁻³: 3.0
Spin magnetization in μB/atom: 0.00
Space-group type: Pm-3m (221)
ΔH_f (0 K) in eV/atom: 0.690